Entry from Alexandria: a relaxed structure of SrHfSn (GGA-PBE).

Computed properties:
ΔE_f = -0.011 eV/atom
volume = 169.6 Å³/cell
M_tot = 0.0000 μB per atom
E_tot = -5.224 eV/atom
N(E_F) = 4.3 states/eV per cell

abc: 4.8314 3.4045 14.6308
angles: 90.00 90.00 135.20
Last column: nearest neighbours and their distance in Å.
Positions (direct):
Sn 0.6944 0.3888 0.0000  4 Sn 3.40, 8 Sr 3.49-3.50
Sn 0.1944 0.3889 0.5000  8 Hf 3.06-3.07, 4 Sn 3.40
Hf 0.6944 0.3889 0.3701  4 Sn 3.06-3.07, 4 Hf 3.40
Hf 0.6944 0.3889 0.6299  4 Sn 3.06-3.07, 4 Hf 3.40
Sr 0.1944 0.3889 0.8268  4 Sr 3.40, 4 Sn 3.49-3.50, 4 Hf 3.75-3.76
Sr 0.1944 0.3889 0.1732  4 Sr 3.40, 4 Sn 3.49-3.50, 4 Hf 3.75-3.76